[1]
Density functional theory data (PBE) for crystalline Cu3Mo at its relaxed geometry.

Results
Spin magnetization in μB/f.u.: 0.000
Density of states at the Fermi level in states/eV per cell: 2.61
Crystal system: trigonal
Formation energy in eV per atom: 0.200

Unit cell a=2.6546 b=8.7936 c=2.6546 alpha=98.68 beta=60.00 gamma=98.68
With the nearest neighbours (Å) after each atom.
Fractional coordinates of all 4 atoms:
Mo  0.7500  0.2500  0.7500  6 Mo 2.65, 6 Cu 2.74
Cu  0.2500  0.7500  0.2500  12 Cu 2.57-2.65
Cu  0.5041  0.5123  0.5041  9 Cu 2.57-2.65, 3 Mo 2.74
Cu  0.9959  0.9877  0.9959  9 Cu 2.57-2.65, 3 Mo 2.74

=====

[2]
Density functional theory data (PBE) for crystalline AcEr5Hg6 at its relaxed geometry.

Results
Spin magnetization in μB/f.u.: 0.004
Density of states at the Fermi level in states/eV per cell: 11.14
Crystal system: orthorhombic
Formation energy in eV per atom: -0.448

Unit cell a=5.2642 b=7.5707 c=9.2090 alpha=114.27 beta=106.61 gamma=90.00
With the nearest neighbours (Å) after each atom.
Fractional coordinates of all 12 atoms:
Ac  0.0000  0.0000  0.0000  8 Hg 3.36-3.42, 4 Er 3.72
Er  0.6688  0.6688  0.3376  8 Hg 3.18-3.20
Er  0.0000  0.5000  0.0000  8 Hg 3.13-3.31
Er  0.6645  0.1645  0.3291  8 Hg 3.13-3.35
Er  0.3355  0.8355  0.6709  8 Hg 3.13-3.35
Er  0.3312  0.3312  0.6624  8 Hg 3.18-3.20
Hg  0.5000  0.7248  0.0000  6 Er 3.13-3.35, 2 Ac 3.36, 1 Hg 3.40
Hg  0.1744  0.9108  0.3488  7 Er 3.13-3.31, 1 Ac 3.42
Hg  0.8256  0.0892  0.6512  7 Er 3.13-3.31, 1 Ac 3.42
Hg  0.1744  0.4380  0.3488  7 Er 3.13-3.31, 1 Ac 3.42
Hg  0.8256  0.5620  0.6512  7 Er 3.13-3.31, 1 Ac 3.42
Hg  0.5000  0.2752  0.0000  6 Er 3.13-3.35, 2 Ac 3.36, 1 Hg 3.40

=====

[3]
Density functional theory data (PBE) for crystalline Cs2LiTcO4 at its relaxed geometry.

Results
Spin magnetization in μB/f.u.: 0.000
Density of states at the Fermi level in states/eV per cell: 1.04
Crystal system: orthorhombic
Formation energy from raw total energies in eV/f.u.: -12.5

Unit cell a=5.2737 b=7.1391 c=10.5598 alpha=84.71 beta=75.54 gamma=68.32
With the nearest neighbours (Å) after each atom.
Fractional coordinates of all 16 atoms:
Tc  0.5000  0.0000  0.0000  4 O 1.84
Tc  0.2500  0.5000  0.5000  4 O 1.84
O  0.1373  0.3206  0.4360  1 Tc 1.84, 1 Li 1.95
O  0.2079  0.1794  0.9360  1 Tc 1.84, 1 Li 1.95
O  0.8562  0.8206  0.9360  1 Tc 1.84, 1 Li 1.95
O  0.3232  0.8206  0.0640  1 Tc 1.84, 1 Li 1.95
O  0.8938  0.6794  0.5640  1 Tc 1.84, 1 Li 1.95
O  0.6127  0.1794  0.0640  1 Tc 1.84, 1 Li 1.95
O  0.4268  0.6794  0.4360  1 Tc 1.84, 1 Li 1.95
O  0.5421  0.3206  0.5640  1 Tc 1.84, 1 Li 1.95
Cs  0.1706  0.0000  0.6587  6 O 3.12-3.46, 1 Li 3.49
Cs  0.5794  0.5000  0.8413  6 O 3.12-3.46, 1 Li 3.49
Cs  0.8294  0.0000  0.3413  6 O 3.12-3.46, 1 Li 3.49
Cs  0.9206  0.5000  0.1587  6 O 3.12-3.46, 1 Li 3.49
Li  0.7500  0.5000  0.5000  4 O 1.95
Li  0.0000  0.0000  0.0000  4 O 1.95

=====

[4]
Density functional theory data (PBE) for crystalline PrHoNi4 at its relaxed geometry.

Results
Spin magnetization in μB/f.u.: 0.000
Density of states at the Fermi level in states/eV per cell: 4.17
Crystal system: cubic
Formation energy in eV per atom: -0.367

Unit cell a=5.1264 b=5.1264 c=5.1264 alpha=60.00 beta=60.00 gamma=60.00
With the nearest neighbours (Å) after each atom.
Fractional coordinates of all 6 atoms:
Ni  0.6240  0.6240  0.1279  6 Ni 2.54-2.58
Ni  0.6240  0.6240  0.6240  6 Ni 2.54-2.58
Ni  0.1279  0.6240  0.6240  6 Ni 2.54-2.58
Ni  0.6240  0.1279  0.6240  6 Ni 2.54-2.58
Ho  0.2500  0.2500  0.2500  12 Ni 3.00, 4 Pr 3.14
Pr  0.0000  0.0000  0.0000  12 Ni 3.01, 4 Ho 3.14

=====

[5]
Density functional theory data (PBE) for crystalline BaAg4Sn at its relaxed geometry.

Results
Relative energy among the computed polymorphs in meV/atom: 122.4
Spin magnetization in μB/f.u.: 0.000
Density of states at the Fermi level in states/eV per cell: 4.99
Crystal system: orthorhombic
Formation energy in eV per atom: -0.072

Unit cell a=5.4991 b=7.8259 c=7.9335 alpha=90.00 beta=110.28 gamma=90.00
With the nearest neighbours (Å) after each atom.
Fractional coordinates of all 12 atoms:
Ag  0.0000  0.5000  0.0000  2 Sn 2.75
Ag  0.2074  0.4296  0.4147  1 Sn 2.76, 2 Ag 2.81
Ag  0.2074  0.0704  0.4147  1 Sn 2.76, 2 Ag 2.81
Ag  0.6289  0.7500  0.2578  2 Sn 2.75, 2 Ag 2.81
Ag  0.3711  0.2500  0.7422  2 Sn 2.75, 2 Ag 2.81
Ag  0.7926  0.9296  0.5853  1 Sn 2.76, 2 Ag 2.81
Ag  0.0000  0.0000  0.0000  2 Sn 2.75
Ag  0.7926  0.5704  0.5853  1 Sn 2.76, 2 Ag 2.81
Ba  0.3949  0.7500  0.7898  11 Ag 3.44-3.75
Ba  0.6051  0.2500  0.2102  11 Ag 3.44-3.75
Sn  0.1299  0.7500  0.2599  6 Ag 2.75-2.76
Sn  0.8701  0.2500  0.7401  6 Ag 2.75-2.76

=====

[6]
Density functional theory data (PBE) for crystalline BaNaLi2Hg at its relaxed geometry.

Results
Relative energy among the computed polymorphs in meV/atom: 0.0
Spin magnetization in μB/f.u.: 0.000
Density of states at the Fermi level in states/eV per cell: 2.87
Crystal system: tetragonal
Formation energy in eV per atom: -0.074

Unit cell a=5.3779 b=5.3779 c=5.7194 alpha=90.00 beta=90.00 gamma=90.00
With the nearest neighbours (Å) after each atom.
Fractional coordinates of all 5 atoms:
Li  0.5000  0.0000  0.0000  2 Hg 2.69
Li  0.0000  0.5000  0.0000  2 Hg 2.69
Ba  0.5000  0.5000  0.5000  4 Na 3.80, 8 Li 3.93
Na  0.0000  0.0000  0.5000  2 Hg 2.86
Hg  0.0000  0.0000  0.0000  4 Li 2.69, 2 Na 2.86

=====

[7]
Density functional theory data (PBE) for crystalline TiAgBi3 at its relaxed geometry.

Results
Relative energy among the computed polymorphs in meV/atom: 550.1
Spin magnetization in μB/f.u.: 0.041
Density of states at the Fermi level in states/eV per cell: 8.82
Crystal system: cubic
Formation energy in eV per atom: 0.898

Unit cell a=5.4472 b=5.4472 c=5.4472 alpha=90.00 beta=90.00 gamma=90.00
With the nearest neighbours (Å) after each atom.
Fractional coordinates of all 5 atoms:
Bi  0.0000  0.5000  0.0000  2 Ag 2.72
Bi  0.5000  0.0000  0.0000  2 Ag 2.72
Bi  0.0000  0.0000  0.5000  2 Ag 2.72
Ti  0.5000  0.5000  0.5000  12 Bi 3.85
Ag  0.0000  0.0000  0.0000  6 Bi 2.72

=====

[8]
Density functional theory data (PBE) for crystalline MnFe2Br at its relaxed geometry.

Results
Relative energy among the computed polymorphs in meV/atom: 350.7
Spin magnetization in μB/f.u.: 9.331
Density of states at the Fermi level in states/eV per cell: 5.03
Crystal system: orthorhombic
Formation energy from raw total energies in eV/f.u.: 2.8

Unit cell a=4.7056 b=4.7056 c=2.9663 alpha=90.00 beta=90.00 gamma=113.29
With the nearest neighbours (Å) after each atom.
Fractional coordinates of all 4 atoms:
Fe  0.0000  0.0000  0.0000  2 Fe 2.59, 4 Mn 2.78, 4 Br 2.78
Fe  0.5000  0.5000  0.0000  2 Fe 2.59, 4 Br 2.78, 4 Mn 2.78
Mn  0.5000  0.0000  0.5000  2 Br 2.59, 8 Fe 2.78
Br  0.0000  0.5000  0.5000  2 Mn 2.59, 8 Fe 2.78

=====

[9]
Density functional theory data (PBE) for crystalline Rb3PaBi2Te6 at its relaxed geometry.

Results
Spin magnetization in μB/f.u.: 1.896
Density of states at the Fermi level in states/eV per cell: 8.84
Crystal system: monoclinic
Formation energy from raw total energies in eV/f.u.: -8.3

Unit cell a=8.1319 b=8.1319 c=8.8629 alpha=98.77 beta=98.77 gamma=120.05
With the nearest neighbours (Å) after each atom.
Fractional coordinates of all 12 atoms:
Te  0.7415  0.7415  0.2012  1 Pa 3.14, 2 Bi 3.22
Te  0.3925  0.0663  0.1997  1 Pa 3.14, 2 Bi 3.22
Te  0.2585  0.2585  0.7988  1 Pa 3.14, 2 Bi 3.22
Te  0.9337  0.6075  0.8003  1 Pa 3.14, 2 Bi 3.22
Te  0.6075  0.9337  0.8003  1 Pa 3.14, 2 Bi 3.22
Te  0.0663  0.3925  0.1997  1 Pa 3.14, 2 Bi 3.22
Bi  0.6659  0.3341  0.0000  6 Te 3.22
Bi  0.3341  0.6659  0.0000  6 Te 3.22
Rb  0.8295  0.1705  0.5000  6 Te 3.69-3.72
Rb  0.5000  0.5000  0.5000  6 Te 3.69-3.75
Rb  0.1705  0.8295  0.5000  6 Te 3.69-3.72
Pa  0.0000  0.0000  0.0000  6 Te 3.14

=====

[10]
Density functional theory data (PBE) for crystalline La2CuW at its relaxed geometry.

Results
Relative energy among the computed polymorphs in meV/atom: 94.0
Spin magnetization in μB/f.u.: 0.031
Density of states at the Fermi level in states/eV per cell: 5.38
Crystal system: orthorhombic
Formation energy in eV per atom: 0.451

Unit cell a=5.1810 b=5.1334 c=3.6032 alpha=90.00 beta=90.00 gamma=90.00
With the nearest neighbours (Å) after each atom.
Fractional coordinates of all 4 atoms:
W  0.5000  0.0000  0.5000  8 La 3.14-3.16
La  0.0000  0.0000  0.0000  4 Cu 3.14, 4 W 3.16
La  0.5000  0.5000  0.0000  4 W 3.14, 4 Cu 3.16
Cu  0.0000  0.5000  0.5000  8 La 3.14-3.16